Material: SiPt3
Method: DFT, PBE
State: relaxed

```
SiPt3
1.0
5.624 0.005 0.003
3.234 4.601 -0.003
-3.961 -3.202 2.384
Pt Si
3 1
Direct
0.307 0.307 0.000
0.693 0.693 0.000
0.000 0.500 0.500
0.500 0.000 0.500
```

Values from the calculation:
Raw formation energy in eV per atom: -0.4368
Symmetry: Immm
Density of states at the Fermi level in states/eV/f.u.: 1.406
Uncorrected energy in eV per atom: -6.32